Below is crystalline Eu2GePt at its relaxed geometry, with properties calculated at the PBE-GGA level.

Lattice parameters (Å, degrees): 3.572 3.572 7.703 90.00 90.00 90.00
Fractional positions:
Ge 0.500 0.500 0.500
Eu 0.000 0.000 0.236
Eu 0.000 0.000 0.764
Pt 0.500 0.500 0.000

Summary:
Its density is 9.7 g/cm3. The total energy comes out at -8.51 eV per atom. Its formation energy is -0.709 eV per atom.